[1]
First-principles (GGA-PBE) data for an optimized crystal structure of Na2SbS, as listed in Alexandria via LeMat-Bulk.

Output
Formation energy without anion corrections   -36.8 kJ/mol of atoms
Symmetry   I-42d (122)
Energy above the most stable polymorph in this dataset   0.0 meV/atom

```
Na2SbS
1.0
8.3681 0.0000 0.0000
0.0000 8.3681 0.0000
4.1840 4.1840 2.8583
Na S Sb
4 2 2
direct
0.8750 0.8144 0.7500
0.5644 0.1250 0.2500
0.3750 0.4356 0.7500
0.1856 0.6250 0.2500
0.2500 0.7500 0.5000
0.5000 0.5000 0.0000
0.7500 0.2500 0.5000
0.0000 0.0000 0.0000
```

[2]
First-principles (GGA-PBE) data for an optimized crystal structure of K3Pr3TiO8, as listed in Alexandria via LeMat-Bulk.

Output
Formation energy without anion corrections   -255.7 kJ/mol of atoms
Symmetry   R-3m (166)

```
K3Pr3TiO8
1.0
7.0418 0.0000 -0.0001
-3.5209 6.0988 -0.0224
0.0000 -4.0437 6.3346
K O Ti Pr
3 8 1 3
direct
0.0000 0.0000 0.0000
0.0000 0.5000 0.0000
0.5000 0.5000 0.0000
0.2297 0.0288 0.3280
0.7991 0.5983 0.3281
0.7991 0.0288 0.3280
0.7314 0.4629 0.6943
0.2009 0.9712 0.6720
0.2686 0.5371 0.3057
0.7703 0.9712 0.6720
0.2009 0.4017 0.6719
0.0000 0.0000 0.5000
0.5000 0.5000 0.5000
0.5000 0.0000 0.5000
0.0000 0.5000 0.5000
```

Number 1: calculated total energy -24.82 eV for the cell shown, magnetization 0.00 μB/f.u.. Number 2: calculated total energy -104.94 eV for the cell shown, magnetization 0.00 μB/f.u..